No. 1
InH3Rh3, optimized geometry, DFT PBE-GGA; total DFT energy (no corrections) = -5.011 eV/atom; D(E_F) = 0.45 states/eV per atom; M_tot = 0.00 μB per atom
1.0
-4.969 0.222 -1.105
-3.052 -3.902 1.192
-3.925 1.647 6.235
In H Rh
2 6 6
Cartesian
-2.674 -1.225 0.032
-9.271 -0.808 6.290
-7.124 -2.013 4.179
-6.722 0.650 3.027
-4.452 -0.813 4.162
-7.493 -1.220 2.160
-5.224 -2.682 3.295
-4.821 -0.020 2.143
-4.081 -1.629 2.363
-6.379 -0.182 1.230
-6.754 -2.858 2.393
-5.192 0.825 3.928
-5.567 -1.851 5.092
-7.865 -0.404 3.959

***

No. 2
InHRh2, optimized geometry, DFT PBE-GGA; total DFT energy (no corrections) = -5.283 eV/atom; D(E_F) = 0.87 states/eV per atom; M_tot = 0.00 μB per atom
1.0
-5.470 -0.968 -0.096
3.488 -3.943 1.775
-0.526 2.354 6.265
In H Rh
3 3 6
Cartesian
-0.602 -1.491 0.510
2.078 -1.176 5.412
-3.984 0.111 2.021
-0.964 -0.560 3.726
2.166 -2.156 2.191
-3.973 1.336 5.159
-3.873 0.211 6.785
-2.549 0.397 4.428
-2.082 -1.783 2.889
1.031 -3.595 1.441
0.670 -1.396 2.982
-0.722 -1.506 5.305

***

No. 3
In2H2Rh, optimized geometry, DFT PBE-GGA; total DFT energy (no corrections) = -3.762 eV/atom; D(E_F) = 0.33 states/eV per atom; M_tot = 0.00 μB per atom
1.0
5.724 0.000 0.000
0.000 5.724 0.000
0.000 0.000 4.170
H Rh In
4 2 4
Cartesian
1.433 4.295 0.000
4.295 4.291 0.000
4.291 1.429 0.000
1.429 1.433 0.000
0.000 0.000 0.000
2.862 2.862 0.000
1.039 3.901 2.085
3.901 4.686 2.085
4.686 1.823 2.085
1.823 1.039 2.085

***

No. 4
InH3Rh3, optimized geometry, DFT PBE-GGA; total DFT energy (no corrections) = -4.997 eV/atom; D(E_F) = 0.86 states/eV per atom; M_tot = 0.00 μB per atom
1.0
-4.577 0.537 2.587
-2.601 -1.824 -4.223
0.464 -4.931 1.844
H Rh In
6 6 2
Cartesian
-0.912 -2.331 1.569
-1.185 -2.145 -1.651
-4.239 -1.100 -1.874
-3.201 -2.063 2.862
-0.953 -4.610 -0.729
-2.939 -0.188 0.238
-0.418 -2.921 -0.134
-1.719 -3.833 -2.246
-1.940 -3.430 2.676
-4.733 -0.509 -0.171
-2.172 -0.964 1.754
-2.445 -0.778 -1.465
-3.357 -3.109 0.104
0.000 0.000 0.000

***

No. 5
InHRh2, optimized geometry, DFT PBE-GGA; total DFT energy (no corrections) = -5.271 eV/atom; D(E_F) = 0.54 states/eV per atom; M_tot = 0.00 μB per atom
1.0
2.975 0.000 0.000
1.487 2.576 0.000
1.487 0.859 6.648
H Rh In
1 2 1
Cartesian
0.000 0.000 0.000
1.487 0.859 1.149
4.462 2.576 5.498
2.975 1.717 3.324

***

No. 6
InHRh, optimized geometry, DFT PBE-GGA; total DFT energy (no corrections) = -4.676 eV/atom; D(E_F) = 0.24 states/eV per atom; M_tot = 0.00 μB per atom
1.0
-2.480 -0.259 -1.989
-2.002 -4.178 3.040
-4.467 5.658 4.834
H Rh In
4 4 4
Cartesian
-4.142 -1.214 1.487
-4.807 2.436 4.398
-7.046 0.216 4.923
-1.902 1.006 0.963
-4.810 -2.604 2.500
-2.568 -0.386 1.974
-6.380 1.608 3.911
-4.139 3.826 3.385
-4.594 1.591 1.686
-2.360 -1.238 -0.732
-4.355 -0.369 4.200
-6.588 2.460 6.617

***

Which of these has the highest total DFT energy (no corrections)?
In2H2Rh